P) Density functional theory data (GGA-PBE) for crystalline Tc2RuRh at its relaxed geometry.

Unit cell a=4.7123 b=4.7123 c=4.7123 alpha=131.77 beta=131.77 gamma=70.60
With the nearest neighbours (Å) after each atom.
Fractional positions:
Tc 0.0000 0.0000 0.0000  4 Ru 2.72, 4 Rh 2.72, 4 Tc 2.72
Tc 0.5000 0.5000 0.0000  4 Rh 2.72, 4 Ru 2.72, 4 Tc 2.72
Ru 0.7500 0.2500 0.5000  8 Tc 2.72, 4 Rh 2.72
Rh 0.2500 0.7500 0.5000  8 Tc 2.72, 4 Ru 2.72

DOS(E_F) = 4.697 states/eV/f.u.

---

Q) Density functional theory data (GGA-PBE) for crystalline Tc2RuRh at its relaxed geometry.

Unit cell a=2.7343 b=4.7318 c=8.9584 alpha=84.97 beta=98.74 gamma=89.98
With the nearest neighbours (Å) after each atom.
Fractional positions:
Rh 0.2945 0.9810 0.0746  6 Tc 2.68-2.73, 6 Rh 2.73
Rh 0.7945 0.4810 0.0746  6 Tc 2.68-2.73, 6 Rh 2.73
Tc 0.1680 0.6891 0.8219  3 Rh 2.73, 6 Tc 2.73, 3 Ru 2.75
Tc 0.4167 0.6065 0.3205  3 Ru 2.68, 3 Rh 2.68, 6 Tc 2.73
Tc 0.9167 0.1065 0.3205  3 Ru 2.68-2.69, 3 Rh 2.68, 6 Tc 2.73
Tc 0.6681 0.1892 0.8219  3 Rh 2.73, 6 Tc 2.73, 3 Ru 2.75
Ru 0.5406 0.8983 0.5665  6 Tc 2.68-2.75, 6 Ru 2.73
Ru 0.0406 0.3983 0.5665  6 Tc 2.68-2.75, 6 Ru 2.73

DOS(E_F) = 4.199 states/eV/f.u.

---

Short version: Q) is the most stable of them.

---

P) Density functional theory data (GGA-PBE) for crystalline Te2AsBr at its relaxed geometry.

Unit cell a=3.8549 b=3.8549 c=8.9594 alpha=77.58 beta=77.58 gamma=60.00
With the nearest neighbours (Å) after each atom.
Fractional positions:
Te 0.2627 0.2627 0.2119  3 As 2.91
Te 0.0709 0.0709 0.7872  3 As 2.87
As 0.6680 0.6680 0.9959  6 Te 2.87-2.91
Br 0.4983 0.4983 0.5050  6 Te 3.31-3.38

DOS(E_F) = 4.110 states/eV/f.u.

---

Q) Density functional theory data (GGA-PBE) for crystalline Te2AsBr at its relaxed geometry.

Unit cell a=4.0985 b=4.0985 c=8.6490 alpha=91.18 beta=91.18 gamma=57.62
With the nearest neighbours (Å) after each atom.
Fractional positions:
Br 0.2500 0.2500 0.2500  2 Te 2.84
Te 0.4207 0.4207 0.5494  1 Br 2.84, 3 As 2.90-2.92
Te 0.0793 0.0793 0.9506  1 Br 2.84, 3 As 2.90-2.92
As 0.7500 0.7500 0.7500  6 Te 2.90-2.92

DOS(E_F) = 2.715 states/eV/f.u.

---

Short version: Q) is the most stable of them.

---

P) Density functional theory data (GGA-PBE) for crystalline B5C7 at its relaxed geometry.

Unit cell a=4.4096 b=4.4096 c=8.2908 alpha=117.09 beta=117.09 gamma=32.83
With the nearest neighbours (Å) after each atom.
Fractional positions:
C 0.3428 0.3428 0.6567  4 C 1.52-1.55
C 0.3278 0.3278 0.1936  1 C 1.53, 3 B 1.63-1.65
C 0.1771 0.1771 0.6832  2 C 1.52-1.53
C 0.4853 0.4853 0.3887  3 C 1.53-1.55, 1 B 1.59
C 0.5072 0.5072 0.8487  1 C 1.54, 3 B 1.63-1.64
C 0.9993 0.9993 0.5054  4 C 1.53-1.55
C 0.8389 0.8389 0.5446  3 C 1.54-1.55, 1 B 1.57
B 0.6576 0.6576 0.3598  2 C 1.57-1.59
B 0.8653 0.8653 0.0862  2 C 1.65, 1 B 1.70
B 0.9724 0.9724 0.9571  2 C 1.64, 2 B 1.70-1.80
B 0.6895 0.6895 0.8292  3 C 1.63-1.71
B 0.1368 0.1368 0.1967  1 C 1.63, 3 B 1.78-1.80

DOS(E_F) = 1.504 states/eV/f.u.

---

Q) Density functional theory data (GGA-PBE) for crystalline B5C7 at its relaxed geometry.

Unit cell a=7.0472 b=7.2440 c=7.2440 alpha=159.22 beta=142.60 gamma=43.32
With the nearest neighbours (Å) after each atom.
Fractional positions:
B 0.4879 0.8451 0.6428  2 C 1.62-1.69
B 0.0456 0.3405 0.7052  3 C 1.58-1.60
B 0.9877 0.9766 0.0112  3 C 1.56-1.59
B 0.5992 0.2747 0.3245  1 C 1.58
B 0.1420 0.1475 0.9945  3 C 1.58-1.59
C 0.6325 0.9674 0.6651  2 C 1.58, 2 B 1.59-1.62
C 0.0942 0.7851 0.3091  1 C 1.52, 3 B 1.58-1.69
C 0.4955 0.1563 0.3392  2 C 1.57, 2 B 1.58
C 0.1503 0.4603 0.6900  1 C 1.55, 3 B 1.56-1.60
C 0.9826 0.6704 0.3122  2 C 1.52-1.55, 2 B 1.59
C 0.6197 0.6219 0.9978  4 C 1.55-1.57
C 0.5127 0.5042 0.0085  4 C 1.55-1.58

DOS(E_F) = 1.686 states/eV/f.u.

---

Short version: Q) is the most stable of them.